DFT (GGA-PBE) results for a geometry-optimized Gd2CdNi structure.

a = 3.4800 Å, b = 3.4800 Å, c = 7.7357 Å
α = 90.00°, β = 90.00°, γ = 90.00°
Last column: magnetic moment on the atom in μB.
Sites, in units of the cell vectors:
Ni (0.5000, 0.5000, 0.0000)  -0.02
Gd (0.0000, 0.0000, 0.7879)  7.01
Gd (0.0000, 0.0000, 0.2121)  7.01
Cd (0.5000, 0.5000, 0.5000)  -0.01

The total energy is -9.05 eV per atom. The value obtained for the formation enthalpy at 0 K is -337 meV per atom. The value obtained for the energy relative to the lowest polymorph listed for this composition is 0 meV per atom. The symmetry is P4/mmm, No. 123. As for the crystal system: tetragonal.